{
  "formula": "K2ScTe",
  "functional": "PBE",
  "state": "optimized geometry",
  "total_energy_ev_per_atom": -3.203,
  "dos_at_fermi_per_ev_cell": 3.4,
  "formation_energy_uncorrected_kj_per_mol_fu": -110,
  "crystal_system": "orthorhombic",
  "lattice_angstrom": [[-5.038, 0.735, 5.782], [-7.378, -2.125, -0.637], [7.475, -1.850, -0.200]],
  "species": ["K", "K", "Sc", "Te"],
  "fractional_positions": [[0.053, 0.053, 0.000], [0.736, 0.236, 0.500], [0.429, 0.429, 0.000], [0.281, 0.781, 0.500]]
}


{
  "formula": "K2ScTe",
  "functional": "PBE",
  "state": "optimized geometry",
  "total_energy_ev_per_atom": -3.289,
  "dos_at_fermi_per_ev_cell": 4.1,
  "formation_energy_uncorrected_kj_per_mol_fu": -143,
  "crystal_system": "tetragonal",
  "lattice_angstrom": [[4.005, 0.000, 0.000], [0.000, 4.005, 0.000], [0.000, 0.000, 10.566]],
  "species": ["K", "K", "Sc", "Te"],
  "fractional_positions": [[0.000, 0.000, 0.936], [0.500, 0.500, 0.307], [0.000, 0.000, 0.587], [0.500, 0.500, 0.670]]
}


{
  "formula": "KSc6Te8",
  "functional": "PBE",
  "state": "optimized geometry",
  "total_energy_ev_per_atom": -5.501,
  "dos_at_fermi_per_ev_cell": 11.0,
  "formation_energy_uncorrected_kj_per_mol_fu": -1766,
  "crystal_system": "trigonal",
  "lattice_angstrom": [[-0.498, -0.069, 4.193], [-9.929, -4.811, -1.259], [9.119, -6.260, 0.980]],
  "species": ["K", "Sc", "Sc", "Sc", "Sc", "Sc", "Sc", "Te", "Te", "Te", "Te", "Te", "Te", "Te", "Te"],
  "fractional_positions": [[0.500, 0.000, 0.000], [0.749, 0.511, 0.647], [0.749, 0.353, 0.864], [0.749, 0.136, 0.489], [0.251, 0.489, 0.353], [0.251, 0.647, 0.136], [0.251, 0.864, 0.511], [0.752, 0.651, 0.956], [0.752, 0.044, 0.696], [0.752, 0.304, 0.349], [0.248, 0.349, 0.044], [0.248, 0.956, 0.304], [0.248, 0.696, 0.651], [0.751, 0.667, 0.333], [0.249, 0.333, 0.667]]
}


{
  "formula": "K3ThSc3Te8",
  "functional": "PBE",
  "state": "optimized geometry",
  "total_energy_ev_per_atom": -4.905,
  "formation_energy_uncorrected_kj_per_mol_fu": -1807,
  "crystal_system": "trigonal",
  "lattice_angstrom": [[8.645, 0.000, 0.000], [-4.322, 7.485, -0.029], [0.000, -4.961, 8.318]],
  "species": ["K", "K", "K", "Th", "Sc", "Sc", "Sc", "Te", "Te", "Te", "Te", "Te", "Te", "Te", "Te"],
  "fractional_positions": [[0.000, 0.000, 0.000], [0.000, 0.500, 0.000], [0.500, 0.500, 0.000], [0.000, 0.000, 0.500], [0.500, 0.000, 0.500], [0.500, 0.500, 0.500], [0.000, 0.500, 0.500], [0.268, 0.536, 0.304], [0.732, 0.464, 0.696], [0.756, 0.511, 0.295], [0.244, 0.489, 0.705], [0.756, 0.039, 0.295], [0.244, 0.961, 0.705], [0.283, 0.039, 0.295], [0.717, 0.961, 0.705]]
}


{
  "formula": "K2ThScTe4",
  "functional": "PBE",
  "state": "optimized geometry",
  "total_energy_ev_per_atom": -4.772,
  "dos_at_fermi_per_ev_cell": 4.5,
  "formation_energy_uncorrected_kj_per_mol_fu": -932,
  "crystal_system": "monoclinic",
  "lattice_angstrom": [[-3.594, -1.865, -1.744], [4.359, -3.588, -5.147], [-0.617, -5.275, 6.913]],
  "species": ["K", "K", "Th", "Sc", "Te", "Te", "Te", "Te"],
  "fractional_positions": [[0.500, 0.000, 0.500], [0.000, 0.500, 0.500], [0.500, 0.500, 0.000], [0.000, 0.000, 0.000], [0.500, 0.221, 0.204], [0.500, 0.779, 0.796], [0.000, 0.247, 0.785], [0.000, 0.753, 0.215]]
}


{
  "formula": "K3Th2ScTe6",
  "functional": "PBE",
  "state": "optimized geometry",
  "total_energy_ev_per_atom": -4.804,
  "dos_at_fermi_per_ev_cell": 7.5,
  "formation_energy_uncorrected_kj_per_mol_fu": -1384,
  "crystal_system": "monoclinic",
  "lattice_angstrom": [[7.678, -0.002, -0.002], [-3.839, 6.650, -0.002], [-1.282, -2.220, 8.390]],
  "species": ["K", "K", "K", "Th", "Th", "Sc", "Te", "Te", "Te", "Te", "Te", "Te"],
  "fractional_positions": [[0.172, 0.828, 0.500], [0.828, 0.172, 0.500], [0.500, 0.500, 0.500], [0.334, 0.666, 0.000], [0.666, 0.334, 0.000], [0.000, 0.000, 0.000], [0.929, 0.611, 0.788], [0.754, 0.754, 0.214], [0.071, 0.389, 0.212], [0.611, 0.929, 0.788], [0.246, 0.246, 0.786], [0.389, 0.071, 0.212]]
}


{
  "formula": "K3Th3ScTe8",
  "functional": "PBE",
  "state": "optimized geometry",
  "total_energy_ev_per_atom": -5.004,
  "dos_at_fermi_per_ev_cell": 9.0,
  "formation_energy_uncorrected_kj_per_mol_fu": -1741,
  "crystal_system": "trigonal",
  "lattice_angstrom": [[8.834, 0.000, 0.000], [-4.417, 7.646, -0.030], [0.000, -5.062, 8.616]],
  "species": ["K", "K", "K", "Th", "Th", "Th", "Sc", "Te", "Te", "Te", "Te", "Te", "Te", "Te", "Te"],
  "fractional_positions": [[0.000, 0.000, 0.000], [0.000, 0.500, 0.000], [0.500, 0.500, 0.000], [0.500, 0.000, 0.500], [0.500, 0.500, 0.500], [0.000, 0.500, 0.500], [0.000, 0.000, 0.500], [0.259, 0.518, 0.278], [0.741, 0.482, 0.722], [0.772, 0.544, 0.294], [0.228, 0.456, 0.706], [0.772, 0.022, 0.294], [0.228, 0.978, 0.706], [0.250, 0.022, 0.294], [0.750, 0.978, 0.706]]
}


{
  "formula": "K4Th3ScTe8",
  "functional": "PBE",
  "state": "optimized geometry",
  "total_energy_ev_per_atom": -4.820,
  "dos_at_fermi_per_ev_cell": 10.7,
  "formation_energy_uncorrected_kj_per_mol_fu": -1833,
  "crystal_system": "trigonal",
  "lattice_angstrom": [[-3.782, -7.922, 1.311], [3.577, -3.140, -8.650], [5.892, 3.128, 5.853]],
  "species": ["K", "K", "K", "K", "Th", "Th", "Th", "Sc", "Te", "Te", "Te", "Te", "Te", "Te", "Te", "Te"],
  "fractional_positions": [[0.500, 0.000, 0.000], [0.500, 0.000, 0.500], [0.000, 0.000, 0.000], [0.000, 0.000, 0.500], [0.500, 0.500, 0.000], [0.500, 0.500, 0.500], [0.000, 0.500, 0.500], [0.000, 0.500, 0.000], [0.230, 0.712, 0.982], [0.230, 0.712, 0.460], [0.259, 0.276, 0.517], [0.752, 0.712, 0.982], [0.248, 0.288, 0.018], [0.741, 0.724, 0.483], [0.770, 0.288, 0.540], [0.770, 0.288, 0.018]]
}


{
  "formula": "K3ScTi2Te6",
  "functional": "PBE",
  "state": "optimized geometry",
  "total_energy_ev_per_atom": -4.651,
  "dos_at_fermi_per_ev_cell": 7.0,
  "formation_energy_uncorrected_kj_per_mol_fu": -1114,
  "crystal_system": "monoclinic",
  "lattice_angstrom": [[7.252, -0.012, -0.004], [-3.634, 6.275, -0.004], [-1.211, -2.097, 8.228]],
  "species": ["K", "K", "K", "Sc", "Ti", "Ti", "Te", "Te", "Te", "Te", "Te", "Te"],
  "fractional_positions": [[0.163, 0.837, 0.500], [0.837, 0.163, 0.500], [0.500, 0.500, 0.500], [0.000, 0.000, 0.000], [0.329, 0.671, 0.000], [0.671, 0.329, 0.000], [0.934, 0.593, 0.804], [0.721, 0.721, 0.191], [0.066, 0.407, 0.196], [0.593, 0.934, 0.804], [0.279, 0.279, 0.809], [0.407, 0.066, 0.196]]
}


{
  "formula": "K3Sc3TiTe8",
  "functional": "PBE",
  "state": "optimized geometry",
  "total_energy_ev_per_atom": -4.808,
  "dos_at_fermi_per_ev_cell": 2.0,
  "formation_energy_uncorrected_kj_per_mol_fu": -1622,
  "crystal_system": "monoclinic",
  "lattice_angstrom": [[8.360, 0.000, 0.000], [-4.180, 7.233, -0.031], [0.000, -4.785, 8.456]],
  "species": ["K", "K", "K", "Sc", "Sc", "Sc", "Ti", "Te", "Te", "Te", "Te", "Te", "Te", "Te", "Te"],
  "fractional_positions": [[0.000, 0.000, 0.000], [0.000, 0.500, 0.000], [0.500, 0.500, 0.000], [0.500, 0.000, 0.500], [0.500, 0.500, 0.500], [0.000, 0.500, 0.500], [0.000, 0.000, 0.500], [0.267, 0.534, 0.301], [0.733, 0.466, 0.699], [0.774, 0.548, 0.307], [0.226, 0.452, 0.693], [0.774, 0.033, 0.307], [0.226, 0.967, 0.693], [0.259, 0.033, 0.307], [0.741, 0.967, 0.693]]
}


{
  "formula": "K3Sc2TiTe6",
  "functional": "PBE",
  "state": "optimized geometry",
  "total_energy_ev_per_atom": -4.658,
  "dos_at_fermi_per_ev_cell": 6.6,
  "formation_energy_uncorrected_kj_per_mol_fu": -1273,
  "crystal_system": "monoclinic",
  "lattice_angstrom": [[-0.102, 0.041, -7.366], [-6.312, -0.468, 3.769], [1.566, 8.321, 1.254]],
  "species": ["K", "K", "K", "Sc", "Sc", "Ti", "Te", "Te", "Te", "Te", "Te", "Te"],
  "fractional_positions": [[0.169, 0.831, 0.500], [0.831, 0.169, 0.500], [0.500, 0.500, 0.500], [0.334, 0.666, 0.000], [0.666, 0.334, 0.000], [0.000, 0.000, 0.000], [0.935, 0.610, 0.804], [0.741, 0.741, 0.197], [0.065, 0.390, 0.196], [0.610, 0.935, 0.804], [0.259, 0.259, 0.803], [0.390, 0.065, 0.196]]
}


{
  "formula": "K3Tm3ScTe8",
  "functional": "PBE",
  "state": "optimized geometry",
  "total_energy_ev_per_atom": -4.484,
  "dos_at_fermi_per_ev_cell": 5.1,
  "formation_energy_uncorrected_kj_per_mol_fu": -1842,
  "crystal_system": "trigonal",
  "lattice_angstrom": [[-6.703, 2.986, 4.494], [-1.222, -3.384, -7.821], [1.964, -6.464, 7.225]],
  "species": ["K", "K", "K", "Tm", "Tm", "Tm", "Sc", "Te", "Te", "Te", "Te", "Te", "Te", "Te", "Te"],
  "fractional_positions": [[0.000, 0.000, 0.000], [0.000, 0.500, 0.000], [0.500, 0.500, 0.000], [0.500, 0.000, 0.500], [0.500, 0.500, 0.500], [0.000, 0.500, 0.500], [0.000, 0.000, 0.500], [0.264, 0.528, 0.293], [0.736, 0.472, 0.707], [0.770, 0.539, 0.298], [0.230, 0.461, 0.702], [0.770, 0.029, 0.298], [0.230, 0.971, 0.702], [0.259, 0.028, 0.298], [0.741, 0.972, 0.702]]
}